{
  "formula": "NaTe3P",
  "functional": "PBE",
  "state": "optimized geometry",
  "lattice": [[5.405, 0.000, 0.000], [0.000, 5.405, 0.000], [0.000, 0.000, 5.405]],
  "species": ["Na", "Te", "Te", "Te", "P"],
  "fractional_positions": [[0.000, 0.000, 0.000], [0.000, 0.000, 0.500], [0.000, 0.500, 0.000], [0.500, 0.000, 0.000], [0.500, 0.500, 0.500]],
  "e_form_raw_ev_per_fu": 5.28,
  "m_tot_mub_per_fu": 0.00,
  "final_energy_ev_per_atom": -2.18,
  "sg": "Pm-3m",
  "dos_ef_per_ev_atom": 1.17,
  "e_above_lowest_polymorph_ev_per_atom": 1.002
}